NaNiB2F8 | the Alexandria database | PBE with a Hubbard U | relaxed; total moment = 1.035 μB/f.u.; DFT total energy = -0.3779 Ry/atom
1.0
2.415 1.394 6.973
-2.415 1.394 6.973
0.000 -2.789 6.973
Na Ni B F
1 1 2 8
Direct
0.000 0.000 0.000 Na
0.500 0.500 0.500 Ni
0.254 0.254 0.254 B
0.746 0.746 0.746 B
0.035 0.790 0.479 F
0.210 0.521 0.965 F
0.321 0.321 0.321 F
0.479 0.035 0.790 F
0.521 0.965 0.210 F
0.679 0.679 0.679 F
0.790 0.479 0.035 F
0.965 0.210 0.521 F